[1]
A plane-wave DFT calculation with SCAN was carried out for a crystal of YIn2Ni9 relaxed with PBEsol.

Structure (POSCAR):
```
YIn2Ni9
1.0
-0.431 3.222 -3.493
4.712 -4.550 -4.778
-6.557 -3.882 -2.770
Ni In Y
18 4 2
Cartesian
-0.662 -5.571 -6.678
1.707 -1.343 -6.345
-5.118 -1.761 -4.251
-2.530 -1.914 -4.712
2.140 -0.664 -4.136
-3.983 -3.867 -4.697
0.338 0.424 -2.910
-0.879 -3.953 -8.433
-2.614 -5.634 -8.132
-1.397 -1.257 -2.609
0.254 -3.296 -6.330
2.842 -3.449 -6.791
-0.086 -1.513 -4.644
-4.199 -2.249 -6.452
-2.190 -3.697 -6.398
-1.614 0.361 -4.364
1.923 -2.961 -4.590
-3.494 -0.330 -3.132
0.951 -2.192 -2.139
-3.509 -2.992 -2.326
1.664 -5.440 -5.222
-2.796 -6.240 -5.410
-0.922 -4.216 -3.774
0.000 0.000 0.000
```

Calculated values
Crystal system = tetragonal
Uncorrected energy = -242.626 eV per formula unit
V = 313.7 Å³/cell
Size of the total moment = 8.14 μB/cell
SG = P4/mbm

=====

[2]
A plane-wave DFT calculation with SCAN was carried out for a crystal of Y12InNi6 relaxed with PBEsol.

Structure (POSCAR):
```
Y12InNi6
1.0
-0.304 6.427 -5.238
-7.711 -2.537 1.714
3.770 2.325 7.015
Ni Y In
6 12 1
Cartesian
-1.289 5.843 -0.440
-0.663 3.195 5.035
-3.581 3.020 -1.543
1.249 4.350 1.961
-5.493 1.865 1.530
-2.955 0.372 3.932
-2.146 4.722 -2.929
-3.792 2.837 3.614
-2.098 1.493 6.420
-0.543 1.576 2.976
-3.165 1.138 0.569
-0.453 3.378 -0.122
-3.701 4.639 0.516
-5.159 -0.617 2.913
-6.327 2.673 -0.821
2.083 3.543 4.312
0.915 6.832 0.579
-1.080 5.077 2.922
0.000 0.000 0.000
```

Calculated values
Crystal system = cubic
Uncorrected energy = -472.067 eV per formula unit
V = 439.6 Å³/cell
Size of the total moment = 0.00 μB/cell
SG = Im-3

=====

[3]
A plane-wave DFT calculation with SCAN was carried out for a crystal of YInNi2 relaxed with PBEsol.

Structure (POSCAR):
```
YInNi2
1.0
3.743 0.000 0.000
0.000 3.860 0.000
-1.871 0.000 4.760
Y Ni In
1 2 1
Cartesian
0.000 0.000 0.978
1.871 1.930 1.714
1.871 0.000 3.069
0.000 1.930 3.760
```

Calculated values
Crystal system = orthorhombic
Uncorrected energy = -95.123 eV per formula unit
V = 68.8 Å³/cell
Size of the total moment = 0.00 μB/cell
SG = Amm2

=====

[4]
A plane-wave DFT calculation with SCAN was carried out for a crystal of YInNi2 relaxed with PBEsol.

Structure (POSCAR):
```
YInNi2
1.0
4.578 0.000 0.000
2.289 3.965 0.000
2.289 1.322 3.738
Ni Y In
2 1 1
Cartesian
0.000 0.000 0.000
6.867 3.965 2.804
2.289 1.322 0.935
4.578 2.643 1.869
```

Calculated values
Crystal system = cubic
Uncorrected energy = -93.601 eV per formula unit
V = 67.9 Å³/cell
Size of the total moment = 0.00 μB/cell
SG = F-43m

=====

[5]
A plane-wave DFT calculation with SCAN was carried out for a crystal of ZnIn2Ni2 relaxed with PBEsol.

Structure (POSCAR):
```
ZnIn2Ni2
1.0
3.300 0.000 0.000
0.000 3.300 0.000
-1.650 -1.650 7.893
Ni Zn In
2 1 2
Cartesian
1.650 0.000 3.947
0.000 1.650 3.947
0.000 0.000 0.000
0.000 0.000 6.021
1.650 1.650 1.873
```

Calculated values
Crystal system = tetragonal
Uncorrected energy = -111.452 eV per formula unit
V = 86.0 Å³/cell
Size of the total moment = 0.29 μB/cell
SG = I4/mmm

=====

[6]
A plane-wave DFT calculation with SCAN was carried out for a crystal of ZnInNi6 relaxed with PBEsol.

Structure (POSCAR):
```
ZnInNi6
1.0
6.239 -0.022 0.000
-2.118 5.869 0.000
0.000 0.000 10.229
Ni Zn In
24 4 4
Cartesian
0.000 0.000 5.115
2.064 0.671 6.345
2.061 2.924 5.115
2.021 0.687 1.333
-0.061 2.170 3.884
2.058 5.176 3.884
4.180 1.430 7.592
-0.061 2.170 6.345
4.183 3.678 6.345
0.000 0.000 0.000
4.154 3.713 8.897
-0.058 4.418 7.592
-0.058 4.418 2.638
2.058 5.176 6.345
4.180 1.430 2.638
2.101 5.160 8.897
2.101 5.160 1.333
4.183 3.678 3.884
4.154 3.713 1.333
2.021 0.687 8.897
2.064 0.671 3.884
2.061 2.924 0.000
-0.032 2.134 8.897
-0.032 2.134 1.333
0.000 0.000 2.605
4.112 1.477 5.115
0.009 4.370 5.115
0.000 0.000 7.625
0.010 4.370 0.000
2.061 2.924 7.641
4.112 1.478 0.000
2.061 2.924 2.588
```

Calculated values
Crystal system = orthorhombic
Uncorrected energy = -144.223 eV per formula unit
V = 374.1 Å³/cell
Size of the total moment = 9.85 μB/cell
SG = Cmmm

=====

[7]
A plane-wave DFT calculation with SCAN was carried out for a crystal of ZnIn2Ni2 relaxed with PBEsol.

Structure (POSCAR):
```
ZnIn2Ni2
1.0
3.597 0.000 0.000
0.000 6.535 0.000
0.000 0.000 6.535
Ni Zn In
4 2 4
Cartesian
0.000 0.914 2.353
0.000 2.353 5.621
0.000 5.621 4.182
0.000 4.182 0.914
0.000 3.268 3.268
0.000 0.000 0.000
1.798 1.059 4.327
1.798 2.208 1.059
1.798 5.476 2.208
1.798 4.327 5.476
```

Calculated values
Crystal system = tetragonal
Uncorrected energy = -113.031 eV per formula unit
V = 153.6 Å³/cell
Size of the total moment = 0.00 μB/cell
SG = P4/mbm

=====

[8]
A plane-wave DFT calculation with SCAN was carried out for a crystal of ZnIn2Ni relaxed with PBEsol.

Structure (POSCAR):
```
ZnIn2Ni
1.0
-0.316 0.963 -2.948
-3.550 -0.698 0.152
-1.016 5.583 1.933
Ni In Zn
1 2 1
Cartesian
-1.933 0.132 -1.398
-0.241 1.325 0.459
-0.775 4.258 1.474
-2.441 2.924 -0.432
```

Calculated values
Crystal system = orthorhombic
Uncorrected energy = -95.922 eV per formula unit
V = 67.7 Å³/cell
Size of the total moment = 0.00 μB/cell
SG = Pmmm

=====

Number 1: ΔH_f (0 K) -0.20 eV/atom. Number 2: ΔH_f (0 K) -0.40 eV/atom. Number 3: ΔH_f (0 K) -0.39 eV/atom. Number 4: ΔH_f (0 K) -0.01 eV/atom. Number 5: ΔH_f (0 K) 0.24 eV/atom. Number 6: ΔH_f (0 K) -0.04 eV/atom. Number 7: ΔH_f (0 K) -0.08 eV/atom. Number 8: ΔH_f (0 K) 0.13 eV/atom.